{"formula": "BP3", "functional": "PBE", "state": "relaxed", "cell": [[-0.476, -0.273, 3.286], [-1.600, -4.031, 1.122], [3.902, -2.580, 0.352]], "species": ["P", "P", "P", "B"], "frac_coords": [[0.163, 0.732, 0.307], [0.832, 0.393, 0.872], [0.413, 0.231, 0.626], [0.625, 0.806, 0.530]], "e_form_ev_per_atom": 0.10, "magmom_total_mub_per_fu": 0.00, "space_group": "Cm"}